An optimized crystal structure of TlIn2TeS2. Source: the Alexandria database, functional GGA-PBE.

Calculated values
* crystal system: monoclinic
* formation energy (no corrections): -26 kJ per mole of atoms

Cell: 7.180 8.465 7.221 Å, 107.15 90.00 90.00°
Atoms (fractional coordinates):
Te 0.250 0.313 0.956
Te 0.750 0.687 0.044
In 0.480 0.145 0.166
In 0.020 0.145 0.166
In 0.520 0.855 0.834
In 0.980 0.855 0.834
Tl 0.750 0.288 0.728
Tl 0.250 0.712 0.272
S 0.250 0.090 0.400
S 0.750 0.910 0.600
S 0.750 0.315 0.316
S 0.250 0.685 0.684